Crystalline PdOF3 at its relaxed geometry, computed with PBE.

Cell lengths 3.870, 3.870, 3.870 Å; angles 90.00, 90.00, 90.00 degrees
Fractional coordinates of all 5 atoms:
1 O 0.000 0.000 0.000
2 Pd 0.500 0.500 0.500
3 F 0.000 0.500 0.000
4 F 0.000 0.000 0.500
5 F 0.500 0.000 0.000

Summary:
- mass density (g/cm3) = 5.1
- SG = No. 221
- total energy (eV per formula unit) = -14.238
- uncorrected formation energy (eV per atom) = 0.305
- offset from the most stable computed form (eV/atom) = 0.939
- DOS at the Fermi energy (states/eV/cell) = 6.58
- total magnetization (μB/f.u.) = 1.52